KBe2Sb PBEsol relaxed; calculated total energy = -3.232 eV/atom; crystal system = trigonal; calculated volume = 87.1 Å³/cell; energy relative to the elements, uncorrected = 190.2 meV per atom
1.0
1.920 1.108 6.822
-1.920 1.108 6.822
0.000 -2.217 6.822
K Be Sb
1 2 1
Cartesian
0.000 0.000 0.000
0.000 0.000 4.205
0.000 0.000 11.032
0.000 0.000 16.525

KBe2Sb PBEsol relaxed; calculated total energy = -3.038 eV/atom; crystal system = monoclinic; calculated volume = 98.9 Å³/cell; energy relative to the elements, uncorrected = 384.4 meV per atom
1.0
4.267 -1.985 0.000
4.267 1.985 0.000
-1.621 0.000 5.841
K Be Sb
1 2 1
Cartesian
0.000 0.000 0.000
0.941 0.000 3.092
5.972 0.000 2.749
3.456 0.000 2.920

KBe2Sb PBEsol relaxed; calculated total energy = -2.552 eV/atom; crystal system = tetragonal; calculated volume = 79.5 Å³/cell; energy relative to the elements, uncorrected = 870.4 meV per atom
1.0
4.421 0.000 0.000
0.000 4.421 0.000
0.000 0.000 4.070
K Be Sb
1 2 1
Cartesian
0.000 0.000 0.000
0.000 2.210 2.035
2.210 0.000 2.035
2.210 2.210 0.000

KBeSb2 PBEsol relaxed; calculated total energy = -3.436 eV/atom; crystal system = orthorhombic; calculated volume = 109.6 Å³/cell; energy relative to the elements, uncorrected = 126.5 meV per atom
1.0
-1.865 1.902 7.724
1.865 -1.902 7.724
1.865 1.902 -7.724
K Be Sb
1 1 2
Cartesian
0.000 0.000 0.000
1.865 0.000 3.613
0.000 0.000 5.308
0.000 1.902 2.947

KScBe PBEsol relaxed; calculated total energy = -2.574 eV/atom; E above lowest polymorph = 356 meV/atom; crystal system = cubic; calculated volume = 81.4 Å³/cell
1.0
0.000 3.440 3.440
3.440 0.000 3.440
3.440 3.440 0.000
K Sc Be
1 1 1
Cartesian
0.000 0.000 0.000
5.160 5.160 5.160
3.440 3.440 3.440

K2ScBe PBEsol relaxed; calculated total energy = -2.741 eV/atom; crystal system = tetragonal; calculated volume = 134.9 Å³/cell
1.0
3.522 0.000 0.000
0.000 3.522 0.000
0.000 0.000 10.872
K Sc Be
2 1 1
Cartesian
0.000 0.000 0.000
1.761 1.761 4.215
0.000 0.000 7.426
1.761 1.761 8.437

K2ScBe PBEsol relaxed; calculated total energy = -2.173 eV/atom; crystal system = orthorhombic; calculated volume = 126.8 Å³/cell
1.0
3.179 -5.884 0.000
3.179 5.884 0.000
0.000 0.000 3.389
K Sc Be
2 1 1
Cartesian
1.589 2.942 0.000
1.589 -2.942 0.000
0.000 0.000 1.695
3.179 0.000 1.695

KScBe PBEsol relaxed; calculated total energy = -2.930 eV/atom; E above lowest polymorph = 0 meV/atom; crystal system = trigonal; calculated volume = 65.2 Å³/cell
1.0
5.168 0.000 0.000
-2.584 4.475 0.000
0.000 0.000 2.821
K Sc Be
1 1 1
Cartesian
0.000 0.000 0.000
0.000 2.984 2.797
2.584 1.492 1.395

K3BeSe PBEsol relaxed; calculated total energy = -2.191 eV/atom; crystal system = cubic; calculated volume = 237.3 Å³/cell; energy relative to the elements, uncorrected = 58.8 meV per atom
1.0
6.191 0.000 0.000
0.000 6.191 0.000
0.000 0.000 6.191
K Be Se
3 1 1
Cartesian
0.000 0.000 3.095
0.000 3.095 0.000
3.095 0.000 0.000
3.095 3.095 3.095
0.000 0.000 0.000

K2BeSnSe PBEsol relaxed; calculated total energy = -2.276 eV/atom; crystal system = tetragonal; calculated volume = 234.7 Å³/cell; energy relative to the elements, uncorrected = 599.0 meV per atom
1.0
6.634 0.000 0.000
0.000 6.634 0.000
0.000 0.000 5.333
K Be Sn Se
2 1 1 1
Cartesian
0.000 3.317 0.000
3.317 0.000 0.000
0.000 0.000 2.667
3.317 3.317 0.000
3.317 3.317 2.667

KBe2Si PBEsol relaxed; calculated total energy = -2.556 eV/atom; crystal system = orthorhombic; calculated volume = 66.4 Å³/cell; energy relative to the elements, uncorrected = 1164.1 meV per atom
1.0
3.071 -4.112 0.000
3.071 4.112 0.000
0.000 0.000 2.628
K Be Si
1 2 1
Cartesian
0.000 0.000 0.000
1.536 2.056 1.314
1.536 -2.056 1.314
3.071 0.000 0.000

KBe2Si PBEsol relaxed; calculated total energy = -3.203 eV/atom; crystal system = tetragonal; calculated volume = 63.1 Å³/cell; energy relative to the elements, uncorrected = 516.8 meV per atom
1.0
2.912 0.000 0.000
0.000 2.912 0.000
0.000 0.000 7.445
K Be Si
1 2 1
Cartesian
0.000 0.000 0.000
0.000 0.000 3.440
1.456 1.456 2.591
1.456 1.456 4.867

K4SrBe PBEsol relaxed; calculated total energy = -1.045 eV/atom; crystal system = cubic; calculated volume = 323.1 Å³/cell
1.0
0.000 5.446 5.446
5.446 0.000 5.446
5.446 5.446 0.000
K Sr Be
4 1 1
Cartesian
1.350 1.350 1.350
4.096 4.096 1.350
4.096 1.350 4.096
1.350 4.096 4.096
5.446 5.446 5.446
8.169 8.169 8.169

K4TaBe PBEsol relaxed; calculated total energy = -1.878 eV/atom; crystal system = cubic; calculated volume = 222.8 Å³/cell
1.0
0.000 4.811 4.811
4.811 0.000 4.811
4.811 4.811 0.000
K Ta Be
4 1 1
Cartesian
1.204 1.204 1.204
3.607 3.607 1.204
3.607 1.204 3.607
1.204 3.607 3.607
4.811 4.811 4.811
7.217 7.217 7.217

K2TaBe PBEsol relaxed; calculated total energy = -3.357 eV/atom; crystal system = orthorhombic; calculated volume = 92.3 Å³/cell
1.0
1.549 -2.447 0.000
1.549 2.447 0.000
0.000 0.000 12.172
K Ta Be
2 1 1
Cartesian
0.000 0.000 2.880
0.000 0.000 9.293
1.549 0.000 6.086
1.549 0.000 0.000

KTa2Be PBEsol relaxed; calculated total energy = -6.668 eV/atom; crystal system = trigonal; calculated volume = 75.1 Å³/cell
1.0
1.422 0.821 10.721
-1.422 0.821 10.721
0.000 -1.642 10.721
K Ta Be
1 2 1
Cartesian
0.000 0.000 0.000
0.000 0.000 7.475
0.000 0.000 24.689
0.000 0.000 16.082

KTa2Be PBEsol relaxed; calculated total energy = -6.219 eV/atom; crystal system = monoclinic; calculated volume = 76.6 Å³/cell
1.0
2.906 -5.391 0.000
2.906 5.391 0.000
-1.027 0.000 2.445
K Ta Be
1 2 1
Cartesian
0.000 0.000 0.000
0.940 2.696 1.223
0.940 -2.696 1.223
2.906 0.000 0.000

KBeTc2 PBEsol relaxed; calculated total energy = -5.990 eV/atom; crystal system = orthorhombic; calculated volume = 62.9 Å³/cell
1.0
-1.262 2.413 5.160
1.262 -2.413 5.160
1.262 2.413 -5.160
K Be Tc
1 1 2
Cartesian
0.000 0.000 0.000
0.000 0.000 5.160
1.262 0.000 3.040
0.000 2.413 2.120

K2BeTc PBEsol relaxed; calculated total energy = -3.453 eV/atom; crystal system = monoclinic; calculated volume = 106.9 Å³/cell
1.0
4.003 -1.358 0.000
4.003 1.358 0.000
-0.438 0.000 9.833
K Be Tc
2 1 1
Cartesian
0.000 0.000 0.000
1.585 0.000 5.466
5.788 0.000 2.354
3.607 0.000 3.002

KBeTc2 PBEsol relaxed; calculated total energy = -5.325 eV/atom; crystal system = tetragonal; calculated volume = 63.8 Å³/cell
1.0
-1.855 1.855 4.636
1.855 -1.855 4.636
1.855 1.855 -4.636
K Be Tc
1 1 2
Cartesian
0.000 0.000 0.000
0.000 0.000 4.636
1.855 0.000 2.318
0.000 1.855 2.318

KBeTc PBEsol relaxed; calculated total energy = -3.520 eV/atom; crystal system = cubic; calculated volume = 61.7 Å³/cell
1.0
0.000 3.137 3.137
3.137 0.000 3.137
3.137 3.137 0.000
K Be Tc
1 1 1
Cartesian
0.000 0.000 0.000
4.705 4.705 4.705
3.137 3.137 3.137

KBeTc2 PBEsol relaxed; calculated total energy = -6.382 eV/atom; crystal system = monoclinic; calculated volume = 71.3 Å³/cell
1.0
2.990 0.000 0.000
0.000 2.990 0.000
-0.008 0.000 7.980
K Be Tc
1 1 2
Cartesian
0.000 0.000 0.000
1.495 1.495 5.339
0.000 0.000 4.243
1.495 1.495 2.851

K2BeTc PBEsol relaxed; calculated total energy = -3.261 eV/atom; crystal system = orthorhombic; calculated volume = 99.2 Å³/cell
1.0
-1.339 3.008 6.159
1.339 -3.008 6.159
1.339 3.008 -6.159
K Be Tc
2 1 1
Cartesian
0.000 0.000 0.000
0.000 3.008 2.532
0.000 0.000 5.391
1.339 0.000 3.586

KBe2Te PBEsol relaxed; calculated total energy = -2.464 eV/atom; crystal system = orthorhombic; calculated volume = 98.2 Å³/cell; energy relative to the elements, uncorrected = 700.5 meV per atom
1.0
-1.856 2.822 4.685
1.856 -2.822 4.685
1.856 2.822 -4.685
K Be Te
1 2 1
Cartesian
0.000 0.000 0.000
1.856 0.000 2.933
0.000 2.822 1.752
0.000 0.000 4.685

KBeTe2 PBEsol relaxed; calculated total energy = -2.768 eV/atom; crystal system = tetragonal; calculated volume = 103.5 Å³/cell; energy relative to the elements, uncorrected = 278.7 meV per atom
1.0
-2.397 2.397 4.503
2.397 -2.397 4.503
2.397 2.397 -4.503
K Be Te
1 1 2
Cartesian
0.000 0.000 0.000
0.000 0.000 4.503
2.397 0.000 2.251
0.000 2.397 2.251

KBeTe PBEsol relaxed; calculated total energy = -2.640 eV/atom; crystal system = cubic; calculated volume = 79.9 Å³/cell; energy relative to the elements, uncorrected = 246.4 meV per atom
1.0
0.000 3.418 3.418
3.418 0.000 3.418
3.418 3.418 0.000
K Be Te
1 1 1
Cartesian
0.000 0.000 0.000
1.709 1.709 1.709
3.418 3.418 3.418

KBe2Te PBEsol relaxed; calculated total energy = -2.304 eV/atom; crystal system = tetragonal; calculated volume = 86.3 Å³/cell; energy relative to the elements, uncorrected = 861.1 meV per atom
1.0
-2.071 2.071 5.027
2.071 -2.071 5.027
2.071 2.071 -5.027
K Be Te
1 2 1
Cartesian
0.000 0.000 0.000
2.071 0.000 2.514
0.000 0.000 5.027
0.000 2.071 2.514

KBe2Tl2 PBEsol relaxed; calculated total energy = -1.213 eV/atom; crystal system = tetragonal; calculated volume = 171.0 Å³/cell
1.0
5.352 0.000 0.000
0.000 5.352 0.000
0.000 0.000 5.971
K Be Tl
1 2 2
Cartesian
0.000 0.000 0.000
0.000 2.676 0.000
2.676 0.000 0.000
0.000 0.000 2.986
2.676 2.676 2.986

K2BeTl PBEsol relaxed; calculated total energy = -1.931 eV/atom; E above lowest polymorph = 32 meV/atom; crystal system = orthorhombic; calculated volume = 143.1 Å³/cell
1.0
-2.286 3.064 5.107
2.286 -3.064 5.107
2.286 3.064 -5.107
K Be Tl
2 1 1
Cartesian
0.000 0.000 0.000
0.000 3.064 1.851
0.000 0.000 3.484
2.286 0.000 3.170

KBeTl3 PBEsol relaxed; calculated total energy = -1.263 eV/atom; crystal system = cubic; calculated volume = 211.5 Å³/cell
1.0
5.958 0.000 0.000
0.000 5.958 0.000
0.000 0.000 5.958
K Be Tl
1 1 3
Cartesian
0.000 0.000 0.000
2.979 2.979 2.979
0.000 0.000 2.979
0.000 2.979 0.000
2.979 0.000 0.000

KBeTl PBEsol relaxed; calculated total energy = -2.160 eV/atom; E above lowest polymorph = 0 meV/atom; crystal system = hexagonal; calculated volume = 86.2 Å³/cell
1.0
4.280 0.000 0.000
-2.140 3.707 0.000
0.000 0.000 5.431
K Be Tl
1 1 1
Cartesian
0.000 0.000 0.000
0.000 2.471 2.715
2.140 1.236 2.715